Entry 1:
VASP calculation (PBE) on crystalline Cu2Pb at its relaxed geometry.

Results
E_tot (eV/atom): -3.66

Unit cell a=7.361 b=7.361 c=4.458 alpha=90.00 beta=90.00 gamma=154.09
Fractional coordinates of all 6 atoms:
Pb (0.891, 0.109, 0.250)
Pb (0.109, 0.891, 0.750)
Cu (0.778, 0.222, 0.750)
Cu (0.438, 0.562, 0.750)
Cu (0.222, 0.778, 0.250)
Cu (0.562, 0.438, 0.250)

=====

Entry 2:
VASP calculation (PBE) on crystalline KSb2Te at its relaxed geometry.

Results
E_form (uncorrected) (eV/atom): -0.1322
E_tot (eV/atom): -3.25

Unit cell a=6.481 b=6.481 c=6.481 alpha=143.30 beta=126.04 gamma=67.04
Fractional coordinates of all 4 atoms:
Te (0.537, 0.537, 0.000)
K (0.243, 0.743, 0.500)
Sb (0.762, 0.262, 0.500)
Sb (0.959, 0.959, 0.000)

=====

Entry 3:
VASP calculation (PBE) on crystalline FeIrW2 at its relaxed geometry.

Results
E_tot (eV/atom): -10.64
E above lowest polymorph (meV/atom): 226.3

Unit cell a=8.951 b=8.951 c=8.951 alpha=17.85 beta=17.85 gamma=17.85
Site moments in Bohr magnetons follow the coordinates.
Fractional coordinates of all 4 atoms:
W (0.998, 0.998, 0.998)  -0.06
W (0.502, 0.502, 0.502)  -0.06
Fe (0.250, 0.250, 0.250)  1.49
Ir (0.750, 0.750, 0.750)  0.06